PuTlVF6: optimized geometry, PBE with a Hubbard U.

Calculated total energy in eV per atom: -6.781
N(E_F) in states/eV/f.u.: 6.574
Spin magnetization in μB/f.u.: 8.00

Cell lengths 6.022, 6.022, 11.564 Å; angles 90.00, 90.00, 120.00 degrees
Atoms (fractional coordinates):
Pu 0.667 0.333 0.250
Pu 0.333 0.667 0.750
Tl 0.000 0.000 0.000
Tl 0.000 0.000 0.500
V 0.333 0.667 0.250
V 0.667 0.333 0.750
F 0.617 0.639 0.151
F 0.022 0.383 0.151
F 0.383 0.022 0.651
F 0.978 0.617 0.849
F 0.361 0.383 0.349
F 0.022 0.639 0.349
F 0.639 0.022 0.849
F 0.617 0.978 0.349
F 0.978 0.361 0.651
F 0.361 0.978 0.151
F 0.639 0.617 0.651
F 0.383 0.361 0.849